Run 1
DFT (PBE) results for a relaxed Cs2RbSnI6 crystal.

Unit cell a=9.194 b=9.194 c=9.194 alpha=60.00 beta=60.00 gamma=60.00
Positions (direct):
Cs 0.250 0.250 0.250
Cs 0.750 0.750 0.750
Rb 0.000 0.000 0.000
Sn 0.500 0.500 0.500
I 0.268 0.268 0.732
I 0.268 0.732 0.268
I 0.268 0.732 0.732
I 0.732 0.268 0.268
I 0.732 0.268 0.732
I 0.732 0.732 0.268

---

Run 2
DFT (PBE) results for a relaxed Cs2RbSnI6 crystal.

Unit cell a=18.526 b=18.526 c=18.526 alpha=26.79 beta=26.79 gamma=26.79
Positions (direct):
Cs 0.142 0.142 0.142
Cs 0.309 0.309 0.309
Cs 0.691 0.691 0.691
Cs 0.858 0.858 0.858
Rb 0.417 0.417 0.417
Rb 0.583 0.583 0.583
Sn 0.000 0.000 0.000
Sn 0.500 0.500 0.500
I 0.131 0.635 0.635
I 0.200 0.200 0.699
I 0.200 0.699 0.200
I 0.301 0.800 0.800
I 0.365 0.365 0.869
I 0.365 0.869 0.365
I 0.635 0.131 0.635
I 0.635 0.635 0.131
I 0.699 0.200 0.200
I 0.800 0.301 0.800
I 0.800 0.800 0.301
I 0.869 0.365 0.365

---

The energy of each structure relative to the most stable one, in meV/atom, is as follows: run 1 34; run 2 0.

---

Run 1
DFT (PBE) results for a relaxed Cs2RbYI6 crystal.

Unit cell a=9.214 b=9.214 c=9.214 alpha=60.00 beta=60.00 gamma=60.00
Positions (direct):
Cs 0.250 0.250 0.250
Cs 0.750 0.750 0.750
Rb 0.000 0.000 0.000
Y 0.500 0.500 0.500
I 0.268 0.268 0.732
I 0.268 0.732 0.268
I 0.268 0.732 0.732
I 0.732 0.268 0.268
I 0.732 0.268 0.732
I 0.732 0.732 0.268

---

Run 2
DFT (PBE) results for a relaxed Cs2RbYI6 crystal.

Unit cell a=8.723 b=13.039 c=10.080 alpha=90.00 beta=90.00 gamma=90.00
Positions (direct):
Cs 0.250 0.043 0.179
Cs 0.250 0.457 0.179
Cs 0.750 0.543 0.821
Cs 0.750 0.957 0.821
Rb 0.250 0.250 0.694
Rb 0.750 0.750 0.306
Y 0.250 0.750 0.798
Y 0.750 0.250 0.202
I 0.004 0.250 0.405
I 0.011 0.750 0.020
I 0.250 0.517 0.798
I 0.250 0.983 0.798
I 0.489 0.750 0.020
I 0.496 0.250 0.405
I 0.504 0.750 0.595
I 0.511 0.250 0.980
I 0.750 0.017 0.202
I 0.750 0.483 0.202
I 0.989 0.250 0.980
I 0.996 0.750 0.595

---

The energy of each structure relative to the most stable one, in meV/atom, is as follows: run 1 17; run 2 0.

---

Run 1
DFT (PBE) results for a relaxed CsRh3I crystal.

Unit cell a=5.078 b=5.078 c=5.078 alpha=90.00 beta=90.00 gamma=90.00
Positions (direct):
Cs 0.000 0.000 0.000
Rh 0.000 0.000 0.500
Rh 0.000 0.500 0.000
Rh 0.500 0.000 0.000
I 0.500 0.500 0.500

---

Run 2
DFT (PBE) results for a relaxed CsRh3I crystal.

Unit cell a=5.042 b=5.042 c=5.042 alpha=90.00 beta=90.00 gamma=90.00
Positions (direct):
Cs 0.000 0.000 0.000
Rh 0.000 0.500 0.500
Rh 0.500 0.000 0.500
Rh 0.500 0.500 0.000
I 0.500 0.500 0.500

---

The energy of each structure relative to the most stable one, in meV/atom, is as follows: run 1 1058; run 2 0.

---

Run 1
DFT (PBE) results for a relaxed CsSb2RhI crystal.

Unit cell a=5.058 b=5.058 c=8.681 alpha=90.00 beta=90.00 gamma=90.00
Positions (direct):
Cs 0.000 0.000 0.000
Sb 0.000 0.500 0.500
Sb 0.500 0.000 0.500
Rh 0.500 0.500 0.500
I 0.500 0.500 0.000

---

Run 2
DFT (PBE) results for a relaxed CsSb2RhI crystal.

Unit cell a=6.501 b=6.501 c=6.891 alpha=90.00 beta=90.00 gamma=90.00
Positions (direct):
Cs 0.000 0.000 0.000
Sb 0.000 0.500 0.000
Sb 0.500 0.000 0.000
Rh 0.500 0.500 0.500
I 0.000 0.000 0.500

---

The energy of each structure relative to the most stable one, in meV/atom, is as follows: run 1 0; run 2 1931.

---

Run 1
DFT (PBE) results for a relaxed CsTe2RhI crystal.

Unit cell a=6.445 b=6.445 c=7.044 alpha=90.00 beta=90.00 gamma=90.00
Positions (direct):
Cs 0.000 0.000 0.000
Te 0.000 0.500 0.000
Te 0.500 0.000 0.000
Rh 0.500 0.500 0.500
I 0.000 0.000 0.500

---

Run 2
DFT (PBE) results for a relaxed CsTe2RhI crystal.

Unit cell a=5.322 b=5.322 c=5.985 alpha=90.00 beta=90.00 gamma=90.00
Positions (direct):
Cs 0.000 0.000 0.000
Te 0.000 0.500 0.500
Te 0.500 0.000 0.500
Rh 0.500 0.500 0.500
I 0.500 0.500 0.000

---

The energy of each structure relative to the most stable one, in meV/atom, is as follows: run 1 1711; run 2 0.

---

Run 1
DFT (PBE) results for a relaxed CsSb2RuI crystal.

Unit cell a=5.155 b=5.155 c=6.377 alpha=90.00 beta=90.00 gamma=90.00
Positions (direct):
Cs 0.000 0.000 0.000
Sb 0.000 0.500 0.500
Sb 0.500 0.000 0.500
Ru 0.500 0.500 0.500
I 0.500 0.500 0.000

---

Run 2
DFT (PBE) results for a relaxed CsSb2RuI crystal.

Unit cell a=6.384 b=6.384 c=6.730 alpha=90.00 beta=90.00 gamma=90.00
Positions (direct):
Cs 0.000 0.000 0.000
Sb 0.000 0.500 0.000
Sb 0.500 0.000 0.000
Ru 0.500 0.500 0.500
I 0.000 0.000 0.500

---

The energy of each structure relative to the most stable one, in meV/atom, is as follows: run 1 0; run 2 2039.